No. 1
Density functional theory data (PBE) for a relaxed NdDy3Y6Th2 crystal.

POSCAR file:
```
NdDy3Y6Th2
1.0
3.1055 -5.3750 0.0000
3.1055 5.3750 0.0000
-2.0717 0.0000 11.6085
Nd Dy Y Th
1 3 6 2
direct
0.0000 0.0000 0.0000 Nd
0.1663 0.8337 0.5000 Dy
0.5000 0.5000 0.5000 Dy
0.8337 0.1663 0.5000 Dy
0.0836 0.4214 0.2487 Y
0.2545 0.2545 0.7513 Y
0.4214 0.0836 0.2487 Y
0.5786 0.9164 0.7513 Y
0.7455 0.7455 0.2487 Y
0.9164 0.5786 0.7513 Y
0.3332 0.6668 0.0000 Th
0.6668 0.3332 0.0000 Th
```

---

No. 2
Density functional theory data (PBE) for a relaxed NdDy2Y5Th crystal.

POSCAR file:
```
NdDy2Y5Th
1.0
-4.3920 4.3920 7.6184
4.3920 -4.3920 7.6184
4.3920 4.3920 -7.6184
Nd Dy Y Th
2 4 10 2
direct
0.2500 0.7500 0.5000 Nd
0.7500 0.2500 0.5000 Nd
0.1152 0.6152 0.7304 Dy
0.3848 0.1152 0.5000 Dy
0.6152 0.8848 0.5000 Dy
0.8848 0.3848 0.2696 Dy
0.0000 0.0000 0.0000 Y
0.0712 0.1567 0.5000 Y
0.1567 0.6567 0.0856 Y
0.3433 0.4288 0.5000 Y
0.4288 0.9288 0.0856 Y
0.5000 0.5000 0.0000 Y
0.5712 0.0712 0.9144 Y
0.6567 0.5712 0.5000 Y
0.8433 0.3433 0.9144 Y
0.9288 0.8433 0.5000 Y
0.2500 0.2500 0.0000 Th
0.7500 0.7500 0.0000 Th
```

---

No. 3
Density functional theory data (PBE) for a relaxed NdDy6Y3Th2 crystal.

POSCAR file:
```
NdDy6Y3Th2
1.0
3.0983 -5.3612 0.0000
3.0983 5.3612 0.0000
-2.0675 0.0000 11.6111
Nd Dy Y Th
1 6 3 2
direct
0.0000 0.0000 0.0000 Nd
0.0834 0.4214 0.2479 Dy
0.2549 0.2549 0.7521 Dy
0.4214 0.0834 0.2479 Dy
0.5786 0.9166 0.7521 Dy
0.7451 0.7451 0.2479 Dy
0.9166 0.5786 0.7521 Dy
0.1663 0.8337 0.5000 Y
0.5000 0.5000 0.5000 Y
0.8337 0.1663 0.5000 Y
0.3332 0.6668 0.0000 Th
0.6668 0.3332 0.0000 Th
```

---

No. 4
Density functional theory data (PBE) for a relaxed Nd2DyY5Th crystal.

POSCAR file:
```
Nd2DyY5Th
1.0
-4.3780 4.3780 7.7499
4.3780 -4.3780 7.7499
4.3780 4.3780 -7.7499
Nd Dy Y Th
4 2 10 2
direct
0.1160 0.6160 0.7320 Nd
0.3840 0.1160 0.5000 Nd
0.6160 0.8840 0.5000 Nd
0.8840 0.3840 0.2680 Nd
0.2500 0.7500 0.5000 Dy
0.7500 0.2500 0.5000 Dy
0.0000 0.0000 0.0000 Y
0.0733 0.1483 0.5000 Y
0.1483 0.6483 0.0750 Y
0.3517 0.4267 0.5000 Y
0.4267 0.9267 0.0750 Y
0.5000 0.5000 0.0000 Y
0.5733 0.0733 0.9250 Y
0.6483 0.5733 0.5000 Y
0.8517 0.3517 0.9250 Y
0.9267 0.8517 0.5000 Y
0.2500 0.2500 0.0000 Th
0.7500 0.7500 0.0000 Th
```

---

No. 5
Density functional theory data (PBE) for a relaxed Nd6Dy3Y2Th crystal.

POSCAR file:
```
Nd6Dy3Y2Th
1.0
3.1404 -5.4339 0.0000
3.1404 5.4339 0.0000
-2.0936 0.0000 11.7890
Nd Dy Y Th
6 3 2 1
direct
0.0837 0.4130 0.7505 Nd
0.2456 0.2456 0.2501 Nd
0.4130 0.0837 0.7505 Nd
0.5870 0.9163 0.2495 Nd
0.7544 0.7544 0.7499 Nd
0.9163 0.5870 0.2495 Nd
0.1668 0.8332 0.0000 Dy
0.5000 0.5000 0.0000 Dy
0.8332 0.1668 0.0000 Dy
0.3333 0.6667 0.5000 Y
0.6667 0.3333 0.5000 Y
0.0000 0.0000 0.5000 Th
```

---

No. 6
Density functional theory data (PBE) for a relaxed Nd5Dy2YTh crystal.

POSCAR file:
```
Nd5Dy2YTh
1.0
2.7153 -10.9021 0.0000
2.7153 10.9021 0.0000
0.0000 0.0000 10.5972
Nd Dy Y Th
10 4 2 2
direct
0.0000 0.0000 0.0000 Nd
0.0000 0.0000 0.5000 Nd
0.1253 0.8747 0.7500 Nd
0.2224 0.7776 0.0570 Nd
0.2224 0.7776 0.4430 Nd
0.4974 0.5026 0.2500 Nd
0.5026 0.4974 0.7500 Nd
0.7776 0.2224 0.5570 Nd
0.7776 0.2224 0.9430 Nd
0.8747 0.1253 0.2500 Nd
0.3868 0.6132 0.5037 Dy
0.3868 0.6132 0.9963 Dy
0.6132 0.3868 0.0037 Dy
0.6132 0.3868 0.4963 Dy
0.1020 0.8980 0.2500 Y
0.8980 0.1020 0.7500 Y
0.2862 0.7138 0.7500 Th
0.7138 0.2862 0.2500 Th
```

---

No. 7
Density functional theory data (PBE) for a relaxed NdDyY5Th2 crystal.

POSCAR file:
```
NdDyY5Th2
1.0
-4.3973 4.3973 7.7811
4.3973 -4.3973 7.7811
4.3973 4.3973 -7.7811
Nd Dy Y Th
2 2 10 4
direct
0.2500 0.7500 0.5000 Nd
0.7500 0.2500 0.5000 Nd
0.2500 0.2500 0.0000 Dy
0.7500 0.7500 0.0000 Dy
0.0000 0.0000 0.0000 Y
0.0692 0.5692 0.9158 Y
0.1535 0.0692 0.5000 Y
0.3465 0.8465 0.9158 Y
0.4308 0.3465 0.5000 Y
0.5000 0.5000 0.0000 Y
0.5692 0.6535 0.5000 Y
0.6535 0.1535 0.0842 Y
0.8465 0.9308 0.5000 Y
0.9308 0.4308 0.0842 Y
0.1189 0.3811 0.5000 Th
0.3811 0.8811 0.2622 Th
0.6189 0.1189 0.7378 Th
0.8811 0.6189 0.5000 Th
```

---

No. 8
Density functional theory data (PBE) for a relaxed Nd2Dy3Y6Th crystal.

POSCAR file:
```
Nd2Dy3Y6Th
1.0
3.1117 -5.3847 0.0000
3.1117 5.3847 0.0000
-2.0714 0.0000 11.6528
Nd Dy Y Th
2 3 6 1
direct
0.1666 0.8334 0.0000 Nd
0.8334 0.1666 0.0000 Nd
0.0000 0.0000 0.5000 Dy
0.3329 0.6671 0.5000 Dy
0.6671 0.3329 0.5000 Dy
0.0861 0.4157 0.7490 Y
0.2548 0.2548 0.2511 Y
0.4157 0.0861 0.7490 Y
0.5843 0.9139 0.2510 Y
0.7452 0.7452 0.7489 Y
0.9139 0.5843 0.2510 Y
0.5000 0.5000 0.0000 Th
```

---

No. 9
Density functional theory data (PBE) for a relaxed Nd2Dy2Y4Th crystal.

POSCAR file:
```
Nd2Dy2Y4Th
1.0
9.4182 -1.8113 0.0000
9.4182 1.8113 0.0000
-4.1816 0.0000 8.6455
Nd Dy Y Th
2 2 4 1
direct
0.1638 0.1638 0.0010 Nd
0.8362 0.8362 0.9990 Nd
0.3525 0.3525 0.3367 Dy
0.6475 0.6475 0.6633 Dy
0.0184 0.0184 0.3303 Y
0.3153 0.3153 0.6660 Y
0.6847 0.6847 0.3340 Y
0.9816 0.9816 0.6697 Y
0.5000 0.5000 0.0000 Th
```

---

No. 10
Density functional theory data (PBE) for a relaxed NdDyY3Th crystal.

POSCAR file:
```
NdDyY3Th
1.0
8.0177 0.0000 0.0000
0.0000 5.0908 0.0000
-3.2727 0.0000 9.6196
Nd Dy Y Th
2 2 6 2
direct
0.1711 0.2500 0.2925 Nd
0.8289 0.7500 0.7075 Nd
0.4995 0.2500 0.6282 Dy
0.5005 0.7500 0.3718 Dy
0.1704 0.7500 0.5440 Y
0.1753 0.7500 0.0430 Y
0.1763 0.2500 0.7936 Y
0.8237 0.7500 0.2064 Y
0.8247 0.2500 0.9570 Y
0.8296 0.2500 0.4560 Y
0.4995 0.7500 0.8783 Th
0.5005 0.2500 0.1217 Th
```

---

No. 11
Density functional theory data (PBE) for a relaxed Nd2Dy2Y6Th crystal.

POSCAR file:
```
Nd2Dy2Y6Th
1.0
2.8558 -6.0274 0.0000
2.8558 6.0274 0.0000
0.0000 0.0000 10.6901
Nd Dy Y Th
2 2 6 1
direct
0.1356 0.8644 0.0000 Nd
0.8644 0.1356 0.0000 Nd
0.2016 0.7984 0.5000 Dy
0.7984 0.2016 0.5000 Dy
0.0000 0.0000 0.2912 Y
0.0000 0.0000 0.7088 Y
0.3483 0.6517 0.2137 Y
0.3483 0.6517 0.7863 Y
0.6517 0.3483 0.2137 Y
0.6517 0.3483 0.7863 Y
0.5000 0.5000 0.5000 Th
```

---

No. 12
Density functional theory data (PBE) for a relaxed NdDyThZr crystal.

POSCAR file:
```
NdDyThZr
1.0
0.0000 3.9046 3.9046
3.9046 0.0000 3.9046
3.9046 3.9046 0.0000
Nd Dy Th Zr
1 1 1 1
direct
0.0000 0.0000 0.0000 Nd
0.2500 0.2500 0.2500 Dy
0.7500 0.7500 0.7500 Th
0.5000 0.5000 0.5000 Zr
```

---

| no. | formation energy from the elements (kJ/mol of formula units) | energy (eV per atom) |
| --- | --- | --- |
| 1 | 37.6 | -5.98 |
| 2 | 261.9 | -5.67 |
| 3 | 37.0 | -5.52 |
| 4 | 247.5 | -5.70 |
| 5 | 36.4 | -5.20 |
| 6 | 124.2 | -5.07 |
| 7 | 278.5 | -5.96 |
| 8 | 34.9 | -5.77 |
| 9 | 0.9 | -5.78 |
| 10 | 16.3 | -6.00 |
| 11 | 153.4 | -5.76 |
| 12 | 86.6 | -6.11 |